[1]
GGA-PBE Tc2OsO8, optimized geometry; volume = 17.4 Å³ per atom; formation energy without anion corrections = -1.052 eV per atom
1.0
4.476 -4.273 0.000
4.476 4.273 0.000
-0.416 0.000 5.003
Tc Os O
2 1 8
Cartesian
1.779 0.000 0.787
6.756 0.000 4.216
-0.208 0.000 2.501
3.162 2.834 3.494
1.074 0.000 4.016
5.374 2.834 1.508
3.447 0.000 1.126
5.088 0.000 3.877
3.162 -2.834 3.494
7.461 0.000 0.987
5.374 -2.834 1.508

[2]
GGA-PBE BaLiOs2, optimized geometry; volume = 18.5 Å³ per atom; energy of formation = 1.144 eV/atom
1.0
1.439 0.831 10.324
-1.439 0.831 10.324
0.000 -1.662 10.324
Ba Li Os
1 1 2
Cartesian
0.000 0.000 0.000
0.000 0.000 15.486
0.000 0.000 7.392
0.000 0.000 23.580

Asked for electronic total energy across the records above, the calculation gives -7.5640 -5.4295 eV per atom in order.
Asked for M_tot across the records above, the calculation gives 0.00 0.11 μB per atom in order.